# 1
# Sc3AlTe6

Sc3AlTe6 after structural relaxation (PBE, Alexandria via LeMat-Bulk).

It has space group Cmc2_1 (No. 36), with a = 11.653 Å, b = 14.415 Å, c = 7.005 Å, α = 90.00°, β = 90.00° and γ = 90.00°. The asymmetric unit holds Sc at (0.000, 0.094, 0.000), Sc at (0.181, 0.403, 0.106), Al at (0.000, 0.293, 0.639), Te at (0.000, 0.279, 0.264), Te at (0.000, 0.462, 0.792), Te at (0.164, 0.037, 0.300) and Te at (0.173, 0.225, 0.835).

The value obtained for the final energy is -203.92 eV per cell.

***

# 2
# Ho2TmHg2

Ho2TmHg2 after structural relaxation (PBE, Alexandria via LeMat-Bulk).

It has space group P2_1/m (No. 11), with a = 3.731 Å, b = 5.235 Å, c = 13.610 Å, α = 90.00°, β = 97.94° and γ = 90.00°. The asymmetric unit holds Ho at (0.046, 0.250, 0.095), Ho at (0.235, 0.250, 0.472), Tm at (0.146, 0.750, 0.293), Hg at (0.356, 0.750, 0.712) and Hg at (0.452, 0.250, 0.903).

The value obtained for the energy of formation from the pure elements is -0.382 eV per atom. The value obtained for the final energy is -32.28 eV per cell.

***

# 3
# Li6NdCd6

Li6NdCd6 after structural relaxation (PBE, Alexandria via LeMat-Bulk).

It has space group Immm (No. 71), with a = 5.315 Å, b = 9.906 Å, c = 9.953 Å, α = 90.00°, β = 90.00° and γ = 90.00°. The asymmetric unit holds Li at (0.000, 0.000, 0.226), Li at (0.250, 0.250, 0.250), Nd at (0.000, 0.500, 0.500), Cd at (0.000, 0.151, 0.500), Cd at (0.000, 0.197, 0.000) and Cd at (0.000, 0.500, 0.156).

The value obtained for the energy of formation from the pure elements is -0.213 eV per atom. The value obtained for the final energy is -49.01 eV per cell.

***

# 4
# Y3TmPu2Te6

Y3TmPu2Te6 after structural relaxation (PBE, Alexandria via LeMat-Bulk).

It has space group C2/m (No. 12), with a = 19.101 Å, b = 4.357 Å, c = 8.787 Å, α = 90.00°, β = 103.65° and γ = 90.00°. The asymmetric unit holds Y at (0.000, 0.000, 0.000), Y at (0.169, 0.500, 0.334), Tm at (0.000, 0.000, 0.500), Pu at (0.166, 0.500, 0.833), Te at (0.003, 0.500, 0.255), Te at (0.164, 0.000, 0.579) and Te at (0.166, 0.000, 0.085).

The value obtained for the final energy is -172.48 eV per cell.

***

# 5
# CeNiB2

CeNiB2 after structural relaxation (PBE, Alexandria via LeMat-Bulk).

It has space group R-3m (No. 166, hexagonal axes), with a = 3.4515 Å, b = 3.4515 Å, c = 14.6180 Å, α = 90.00°, β = 90.00° and γ = 120.00°. The asymmetric unit holds Ce at (0.0000, 0.0000, 0.0000), Ni at (0.0000, 0.0000, 0.5000) and B at (0.0000, 0.0000, 0.1922).

The value obtained for the energy of formation from the pure elements is -0.290 eV per atom. The value obtained for the final energy is -78.69 eV per cell.

***

# 6
# La2Pm2Ru

La2Pm2Ru after structural relaxation (PBE, Alexandria via LeMat-Bulk).

It has space group C2/c (No. 15), with a = 7.275 Å, b = 7.169 Å, c = 12.432 Å, α = 90.00°, β = 96.37° and γ = 90.00°. The asymmetric unit holds La at (0.153, 0.116, 0.125), Pm at (0.145, 0.372, 0.610) and Ru at (0.000, 0.363, 0.250).

The value obtained for the energy above the most stable polymorph in this dataset is 76 meV per atom. The value obtained for the energy of formation from the pure elements is -0.058 eV per atom. The value obtained for the final energy is -115.68 eV per cell.

***

# 7
# K4Au2S

K4Au2S after structural relaxation (PBE, Alexandria via LeMat-Bulk).

It has space group I4/mmm (No. 139), with a = 5.938 Å, b = 5.938 Å, c = 17.288 Å, α = 90.00°, β = 90.00° and γ = 90.00°. The asymmetric unit holds K at (0.000, 0.000, 0.173), K at (0.000, 0.500, 0.000), Au at (0.000, 0.000, 0.363) and S at (0.000, 0.000, 0.000).

The value obtained for the final energy is -37.51 eV per cell.

***

# 8
# RbTiCoBr6

RbTiCoBr6 after structural relaxation (PBE, Alexandria via LeMat-Bulk).

It has space group C2 (No. 5), with a = 6.793 Å, b = 11.772 Å, c = 7.695 Å, α = 90.00°, β = 90.22° and γ = 90.00°. The asymmetric unit holds Rb at (0.000, 0.000, 0.000), Ti at (0.000, 0.333, 0.500), Co at (0.000, 0.666, 0.500), Br at (0.120, 0.498, 0.693), Br at (0.186, 0.190, 0.692) and Br at (0.191, 0.813, 0.690).

The value obtained for the final energy is -70.16 eV per cell.

***

# 9
# MgOsSe2

MgOsSe2 after structural relaxation (PBE, Alexandria via LeMat-Bulk).

It has space group P4mm (No. 99), with a = 3.019 Å, b = 3.019 Å, c = 8.958 Å, α = 90.00°, β = 90.00° and γ = 90.00°. The asymmetric unit holds Mg at (0.000, 0.000, 0.000), Os at (0.500, 0.500, 0.227), Se at (0.000, 0.000, 0.376) and Se at (0.500, 0.500, 0.784).

The value obtained for the final energy is -20.15 eV per cell.

***

# 10
# YMgCd11

YMgCd11 after structural relaxation (PBE, Alexandria via LeMat-Bulk).

It has space group C2/m (No. 12), with a = 5.983 Å, b = 14.007 Å, c = 7.623 Å, α = 90.00°, β = 113.04° and γ = 90.00°. The asymmetric unit holds Y at (0.000, 0.000, 0.000), Mg at (0.000, 0.000, 0.500), Cd at (0.000, 0.500, 0.500), Cd at (0.114, 0.394, 0.214), Cd at (0.172, 0.174, 0.350) and Cd at (0.250, 0.250, 0.000).

The value obtained for the energy of formation from the pure elements is -0.102 eV per atom. The value obtained for the final energy is -38.91 eV per cell.

***

# 11
# Sb2Pb2Se5

Sb2Pb2Se5 after structural relaxation (PBE, Alexandria via LeMat-Bulk).

It has space group C2/m (No. 12), with a = 17.192 Å, b = 5.543 Å, c = 5.887 Å, α = 90.00°, β = 98.03° and γ = 90.00°. The asymmetric unit holds Sb at (0.158, 0.000, 0.412), Pb at (0.084, 0.500, 0.829), Se at (0.000, 0.000, 0.500), Se at (0.160, 0.000, 0.974) and Se at (0.165, 0.500, 0.443).

The value obtained for the final energy is -70.51 eV per cell.

***

# 12
# Mg2Sn2Te

Mg2Sn2Te after structural relaxation (PBE, Alexandria via LeMat-Bulk).

It has space group P4/mbm (No. 127), with a = 8.823 Å, b = 8.823 Å, c = 3.339 Å, α = 90.00°, β = 90.00° and γ = 90.00°. The asymmetric unit holds Mg at (0.180, 0.320, 0.000), Sn at (0.119, 0.619, 0.500) and Te at (0.000, 0.000, 0.000).

The value obtained for the energy above the most stable polymorph in this dataset is 0 meV per atom. The value obtained for the final energy is -29.74 eV per cell.

***

# 13
# K2Na2IrO6

K2Na2IrO6 after structural relaxation (PBE, Alexandria via LeMat-Bulk).

It has space group C2/m (No. 12), with a = 6.015 Å, b = 9.685 Å, c = 6.403 Å, α = 90.00°, β = 109.90° and γ = 90.00°. The asymmetric unit holds K at (0.000, 0.183, 0.000), Na at (0.000, 0.342, 0.500), Ir at (0.000, 0.000, 0.500), O at (0.195, 0.139, 0.682) and O at (0.196, 0.000, 0.320).

The value obtained for the final energy is -111.85 eV per cell.

***

# 14
# AlIrSe2

AlIrSe2 after structural relaxation (PBE, Alexandria via LeMat-Bulk).

It has space group R-3m (No. 166, hexagonal axes), with a = 3.8775 Å, b = 3.8775 Å, c = 17.5090 Å, α = 90.00°, β = 90.00° and γ = 120.00°. The asymmetric unit holds Al at (0.0000, 0.0000, 0.0000), Ir at (0.0000, 0.0000, 0.5000) and Se at (0.0000, 0.0000, 0.2389).

The value obtained for the final energy is -59.90 eV per cell.

***

# 15
# Nb2AlZn

Nb2AlZn after structural relaxation (PBE, Alexandria via LeMat-Bulk).

It has space group R-3m (No. 166, hexagonal axes), with a = 3.6269 Å, b = 3.6269 Å, c = 19.1891 Å, α = 90.00°, β = 90.00° and γ = 120.00°. The asymmetric unit holds Nb at (0.0000, 0.0000, 0.2502), Al at (0.0000, 0.0000, 0.0000) and Zn at (0.0000, 0.0000, 0.5000).

The value obtained for the energy of formation from the pure elements is 0.359 eV per atom. The value obtained for the final energy is -71.16 eV per cell.

***

# 16
# Sm3CdFe

Sm3CdFe after structural relaxation (PBE, Alexandria via LeMat-Bulk).

It has space group C2/m (No. 12), with a = 16.244 Å, b = 3.764 Å, c = 8.885 Å, α = 90.00°, β = 90.95° and γ = 90.00°. The asymmetric unit holds Sm at (0.058, 0.000, 0.224), Sm at (0.098, 0.500, 0.561), Sm at (0.245, 0.000, 0.797), Cd at (0.094, 0.500, 0.932) and Fe at (0.229, 0.000, 0.461).

The value obtained for the energy above the most stable polymorph in this dataset is 0 meV per atom. The value obtained for the energy of formation from the pure elements is -0.074 eV per atom. The value obtained for the final energy is -95.62 eV per cell.

***

# 17
# NaLi2SbO4

NaLi2SbO4 after structural relaxation (PBE, Alexandria via LeMat-Bulk).

It has space group I-42m (No. 121), with a = 5.189 Å, b = 5.189 Å, c = 7.660 Å, α = 90.00°, β = 90.00° and γ = 90.00°. The asymmetric unit holds Na at (0.000, 0.000, 0.000), Li at (0.000, 0.500, 0.250), Sb at (0.000, 0.000, 0.500) and O at (0.215, 0.215, 0.360).

The value obtained for the final energy is -85.91 eV per cell.

***

# 18
# K2MgSe

K2MgSe after structural relaxation (PBE, Alexandria via LeMat-Bulk).

It has space group F-43m (No. 216), with a = 8.179 Å, b = 8.179 Å, c = 8.179 Å, α = 90.00°, β = 90.00° and γ = 90.00°. The asymmetric unit holds K at (0.000, 0.000, 0.000), K at (0.250, 0.250, 0.250), Mg at (0.000, 0.000, 0.500) and Se at (0.250, 0.250, 0.750).

The value obtained for the energy above the most stable polymorph in this dataset is 319 meV per atom. The value obtained for the final energy is -33.98 eV per cell.

***

# 19
# Hf2PbSe

Hf2PbSe after structural relaxation (PBE, Alexandria via LeMat-Bulk).

It has space group R3m (No. 160, hexagonal axes), with a = 3.8762 Å, b = 3.8762 Å, c = 20.7391 Å, α = 90.00°, β = 90.00° and γ = 120.00°. The asymmetric unit holds Hf at (0.0000, 0.0000, 0.0000), Hf at (0.0000, 0.0000, 0.1932), Pb at (0.0000, 0.0000, 0.4288) and Se at (0.0000, 0.0000, 0.5980).

The value obtained for the energy above the most stable polymorph in this dataset is 0 meV per atom. The value obtained for the final energy is -85.74 eV per cell.

***

# 20
# Np2AuC

Np2AuC after structural relaxation (PBE, Alexandria via LeMat-Bulk).

It has space group R-3m (No. 166, hexagonal axes), with a = 3.0335 Å, b = 3.0335 Å, c = 27.6595 Å, α = 90.00°, β = 90.00° and γ = 120.00°. The asymmetric unit holds Np at (0.0000, 0.0000, 0.1113), Au at (0.0000, 0.0000, 0.0000) and C at (0.0000, 0.0000, 0.5000).

The value obtained for the energy of formation from the pure elements is 0.235 eV per atom. The value obtained for the final energy is -112.32 eV per cell.

***

| no. | volume (Å³/cell) |
| --- | --- |
| 1 | 1176.8 |
| 2 | 263.2 |
| 3 | 524.0 |
| 4 | 710.7 |
| 5 | 150.8 |
| 6 | 644.4 |
| 7 | 609.6 |
| 8 | 615.4 |
| 9 | 81.6 |
| 10 | 587.9 |
| 11 | 555.5 |
| 12 | 259.9 |
| 13 | 350.8 |
| 14 | 228.0 |
| 15 | 218.6 |
| 16 | 543.2 |
| 17 | 206.3 |
| 18 | 547.1 |
| 19 | 269.9 |
| 20 | 220.4 |